1.
{
  "formula": "Tl2TeRu",
  "functional": "GGA-PBE",
  "state": "relaxed",
  "lattice": [[5.833, 0.000, 0.000], [0.000, 11.179, 0.000], [-2.258, 0.000, 3.026]],
  "species": ["Tl", "Tl", "Tl", "Tl", "Te", "Te", "Ru", "Ru"],
  "fractional_positions": [[0.250, 0.250, 0.000], [0.250, 0.750, 0.000], [0.750, 0.250, 0.000], [0.750, 0.750, 0.000], [0.000, 0.000, 0.500], [0.500, 0.500, 0.500], [0.000, 0.500, 0.500], [0.500, 0.000, 0.500]],
  "space_group": "C2/m, No. 12",
  "m_tot_mub_per_atom": 0.349,
  "formation_energy_uncorrected_ev_per_atom": 0.582
}

2.
{
  "formula": "Tl2TeRu",
  "functional": "GGA-PBE",
  "state": "relaxed",
  "lattice": [[3.251, 0.000, 0.000], [0.000, 4.711, 0.000], [0.000, 0.000, 13.388]],
  "species": ["Tl", "Tl", "Tl", "Tl", "Te", "Te", "Ru", "Ru"],
  "fractional_positions": [[0.000, 0.000, 0.000], [0.000, 0.500, 0.181], [0.500, 0.000, 0.681], [0.500, 0.500, 0.500], [0.000, 0.000, 0.359], [0.500, 0.500, 0.859], [0.000, 0.500, 0.703], [0.500, 0.000, 0.203]],
  "space_group": "Imm2, No. 44",
  "m_tot_mub_per_atom": 0.000,
  "formation_energy_uncorrected_ev_per_atom": 0.161
}

Repeat the second record exactly.
{
  "formula": "Tl2TeRu",
  "functional": "GGA-PBE",
  "state": "relaxed",
  "lattice": [[3.251, 0.000, 0.000], [0.000, 4.711, 0.000], [0.000, 0.000, 13.388]],
  "species": ["Tl", "Tl", "Tl", "Tl", "Te", "Te", "Ru", "Ru"],
  "fractional_positions": [[0.000, 0.000, 0.000], [0.000, 0.500, 0.181], [0.500, 0.000, 0.681], [0.500, 0.500, 0.500], [0.000, 0.000, 0.359], [0.500, 0.500, 0.859], [0.000, 0.500, 0.703], [0.500, 0.000, 0.203]],
  "space_group": "Imm2, No. 44",
  "m_tot_mub_per_atom": 0.000,
  "formation_energy_uncorrected_ev_per_atom": 0.161
}